[1]
Here is a relaxed structure of KSr4Br from Alexandria. Energies are from PBE-GGA.

a b c (Å): 8.0310 8.0310 8.0310
angles (deg): 60.00 60.00 60.00
Last column: nearest neighbours and their distance in Å.
Sites, in units of the cell vectors:
K: 0.0000 0.0000 0.0000  12 Sr 4.71, 4 Br 4.92
Sr: 0.1230 0.6257 0.6257  6 Sr 3.99-4.04
Sr: 0.6257 0.1230 0.6257  6 Sr 3.99-4.04
Sr: 0.6257 0.6257 0.1230  6 Sr 3.99-4.04
Sr: 0.6257 0.6257 0.6257  6 Sr 3.99-4.04
Br: 0.2500 0.2500 0.2500  12 Sr 4.71, 4 K 4.92

- Space-group type: F-43m

***

[2]
Here is a relaxed structure of K2Sr5Br12 from Alexandria. Energies are from PBE-GGA.

a b c (Å): 9.4166 9.4166 10.8150
angles (deg): 110.58 110.58 56.07
Last column: nearest neighbours and their distance in Å.
Sites, in units of the cell vectors:
K: 0.2270 0.7730 0.0000  6 Br 3.18-3.37
K: 0.7730 0.2270 0.0000  6 Br 3.18-3.37
Sr: 0.0000 0.0000 0.5000  6 Br 3.03-3.26
Sr: 0.2786 0.2786 0.0489  6 Br 3.07-3.19
Sr: 0.3030 0.3030 0.6203  7 Br 3.08-3.35
Sr: 0.6970 0.6970 0.3797  7 Br 3.08-3.35
Sr: 0.7214 0.7214 0.9511  6 Br 3.07-3.19
Br: 0.0650 0.5231 0.8467  3 Sr 3.07-3.23, 1 K 3.18
Br: 0.0809 0.6456 0.5143  3 Sr 3.03-3.20
Br: 0.0821 0.0821 0.8282  2 Sr 3.19-3.26, 2 K 3.37
Br: 0.3544 0.9191 0.4857  3 Sr 3.03-3.20
Br: 0.4769 0.9350 0.1533  3 Sr 3.07-3.23, 1 K 3.18
Br: 0.4810 0.4810 0.1921  2 Sr 3.09-3.35, 2 K 3.28
Br: 0.5190 0.5190 0.8079  2 Sr 3.09-3.35, 2 K 3.28
Br: 0.5231 0.0650 0.8467  3 Sr 3.07-3.23, 1 K 3.18
Br: 0.6456 0.0809 0.5143  3 Sr 3.03-3.20
Br: 0.9179 0.9179 0.1718  2 Sr 3.19-3.26, 2 K 3.37
Br: 0.9191 0.3544 0.4857  3 Sr 3.03-3.20
Br: 0.9350 0.4769 0.1533  3 Sr 3.07-3.23, 1 K 3.18

- Space-group type: C2/m

***

[3]
Here is a relaxed structure of KSrBr4 from Alexandria. Energies are from PBE-GGA.

a b c (Å): 6.6348 6.6348 6.6348
angles (deg): 60.00 60.00 60.00
Last column: nearest neighbours and their distance in Å.
Sites, in units of the cell vectors:
K: 0.0000 0.0000 0.0000  12 Br 3.89, 4 Sr 4.06
Sr: 0.7500 0.7500 0.7500  12 Br 3.89, 4 K 4.06
Br: 0.3752 0.3752 0.3752  6 Br 3.31-3.32
Br: 0.3752 0.3752 0.8743  6 Br 3.31-3.32
Br: 0.3752 0.8743 0.3752  6 Br 3.31-3.32
Br: 0.8743 0.3752 0.3752  6 Br 3.31-3.32

- Space-group type: F-43m

***

[4]
Here is a relaxed structure of K2Sr2Br from Alexandria. Energies are from PBE-GGA.

a b c (Å): 8.5920 8.5920 7.7858
angles (deg): 90.00 90.00 90.00
Last column: nearest neighbours and their distance in Å.
Sites, in units of the cell vectors:
K: 0.1633 0.3367 0.0000  1 K 3.97, 2 Sr 4.39
K: 0.3367 0.8367 0.0000  1 K 3.97, 2 Sr 4.39
K: 0.6633 0.1633 0.0000  1 K 3.97, 2 Sr 4.39
K: 0.8367 0.6633 0.0000  1 K 3.97, 2 Sr 4.39
Sr: 0.1699 0.6699 0.5000  2 Br 3.19
Sr: 0.3301 0.1699 0.5000  2 Br 3.19
Sr: 0.6699 0.8301 0.5000  2 Br 3.19
Sr: 0.8301 0.3301 0.5000  2 Br 3.19
Br: 0.0000 0.0000 0.5000  4 Sr 3.19
Br: 0.5000 0.5000 0.5000  4 Sr 3.19

- Space-group type: P4/mbm

***

[5]
Here is a relaxed structure of KSrBr from Alexandria. Energies are from PBE-GGA.

a b c (Å): 4.5609 7.3029 16.5836
angles (deg): 90.00 90.00 90.00
Last column: nearest neighbours and their distance in Å.
Sites, in units of the cell vectors:
K: 0.0000 0.0000 0.0000  2 Br 3.35
K: 0.0000 0.5000 0.5000  2 Br 3.35
K: 0.5000 0.0000 0.5000  2 Br 3.35
K: 0.5000 0.5000 0.0000  2 Br 3.35
Sr: 0.0000 0.0000 0.2821  2 Br 3.18
Sr: 0.0000 0.5000 0.7821  2 Br 3.18
Sr: 0.5000 0.0000 0.7821  2 Br 3.18
Sr: 0.5000 0.5000 0.2821  2 Br 3.18
Br: 0.0000 0.0000 0.6481  2 Sr 3.18, 2 K 3.35
Br: 0.0000 0.5000 0.1481  2 Sr 3.18, 2 K 3.35
Br: 0.5000 0.0000 0.1481  2 Sr 3.18, 2 K 3.35
Br: 0.5000 0.5000 0.6481  2 Sr 3.18, 2 K 3.35

- Space-group type: Fmm2

***

[6]
Here is a relaxed structure of K2SrBr4 from Alexandria. Energies are from PBE-GGA.

a b c (Å): 15.6000 4.6154 8.5967
angles (deg): 90.00 116.79 90.00
Last column: nearest neighbours and their distance in Å.
Sites, in units of the cell vectors:
K: 0.1963 0.0000 0.1826  6 Br 3.22-3.57
K: 0.3037 0.5000 0.8174  6 Br 3.22-3.57
K: 0.6963 0.5000 0.1826  6 Br 3.22-3.57
K: 0.8037 0.0000 0.8174  6 Br 3.22-3.57
Sr: 0.0000 0.5000 0.5000  6 Br 3.01-3.12
Sr: 0.5000 0.0000 0.5000  6 Br 3.01-3.12
Br: 0.1067 0.5000 0.8919  1 Sr 3.01, 2 K 3.22
Br: 0.1383 0.0000 0.5138  2 Sr 3.12, 1 K 3.35
Br: 0.3617 0.5000 0.4862  2 Sr 3.12, 1 K 3.35
Br: 0.3933 0.0000 0.1081  1 Sr 3.01, 2 K 3.22
Br: 0.6067 0.0000 0.8919  1 Sr 3.01, 2 K 3.22
Br: 0.6383 0.5000 0.5138  2 Sr 3.12, 1 K 3.35
Br: 0.8617 0.0000 0.4862  2 Sr 3.12, 1 K 3.35
Br: 0.8933 0.5000 0.1081  1 Sr 3.01, 2 K 3.22

- Space-group type: C2/m

***

Calculated energy relative to the elements, uncorrected (eV/atom), listed in the same order as above: 0.00, -1.99, -0.80, -0.45, -0.95, -1.89